[1]
VASP calculation (SCAN) on AgN3Cl at its PBEsol-relaxed geometry.

Computed properties:
calculated density = 5.594 g/cm³
formation energy without anion corrections = 2.824 eV/atom
crystal system = cubic
DOS(E_F) = 1.85 states/eV/f.u.
E = -53.10 eV/cell

abc: 3.803 3.803 3.803
angles: 90.00 90.00 90.00
Sites, in units of the cell vectors:
Ag 0.000 0.000 0.000
N 0.000 0.500 0.500
N 0.500 0.000 0.500
N 0.500 0.500 0.000
Cl 0.500 0.500 0.500

***

[2]
VASP calculation (SCAN) on AgNCl3 at its PBEsol-relaxed geometry.

Computed properties:
calculated density = 3.292 g/cm³
formation energy without anion corrections = 0.812 eV/atom
crystal system = cubic
DOS(E_F) = 5.25 states/eV/f.u.
E = -60.53 eV/cell

abc: 4.865 4.865 4.865
angles: 90.00 90.00 90.00
Sites, in units of the cell vectors:
Ag 0.000 0.000 0.000
N 0.500 0.500 0.500
Cl 0.000 0.000 0.500
Cl 0.000 0.500 0.000
Cl 0.500 0.000 0.000

***

[3]
VASP calculation (SCAN) on AgNCl2 at its PBEsol-relaxed geometry.

Computed properties:
calculated density = 3.416 g/cm³
formation energy without anion corrections = 0.801 eV/atom
crystal system = trigonal
E = -53.41 eV/cell

abc: 7.312 7.312 7.312
angles: 31.31 31.31 31.31
Sites, in units of the cell vectors:
Ag 0.000 0.000 0.000
N 0.500 0.500 0.500
Cl 0.401 0.401 0.401
Cl 0.599 0.599 0.599

***

[4]
VASP calculation (SCAN) on AgS2NCl at its PBEsol-relaxed geometry.

Computed properties:
calculated density = 3.830 g/cm³
formation energy without anion corrections = 1.397 eV/atom
crystal system = tetragonal
DOS(E_F) = 1.83 states/eV/f.u.
E = -60.90 eV/cell

abc: 4.896 4.896 4.006
angles: 90.00 90.00 90.00
Sites, in units of the cell vectors:
Ag 0.000 0.000 0.000
S 0.000 0.500 0.000
S 0.500 0.000 0.000
N 0.000 0.000 0.500
Cl 0.500 0.500 0.500

***

[5]
VASP calculation (SCAN) on Na3AgCl at its PBEsol-relaxed geometry.

Computed properties:
calculated density = 2.097 g/cm³
formation energy without anion corrections = -0.314 eV/atom
crystal system = cubic
DOS(E_F) = 2.80 states/eV/f.u.
E = -53.56 eV/cell

abc: 5.519 5.519 5.519
angles: 90.00 90.00 90.00
Sites, in units of the cell vectors:
Na 0.000 0.000 0.500
Na 0.000 0.500 0.000
Na 0.500 0.000 0.000
Ag 0.000 0.000 0.000
Cl 0.500 0.500 0.500

***

[6]
VASP calculation (SCAN) on NaAgS2Cl at its PBEsol-relaxed geometry.

Computed properties:
calculated density = 3.149 g/cm³
formation energy without anion corrections = 0.422 eV/atom
crystal system = tetragonal
DOS(E_F) = 1.91 states/eV/f.u.
E = -60.71 eV/cell

abc: 4.987 4.987 4.885
angles: 90.00 90.00 90.00
Sites, in units of the cell vectors:
Na 0.000 0.000 0.000
Ag 0.500 0.500 0.500
S 0.000 0.500 0.000
S 0.500 0.000 0.000
Cl 0.000 0.000 0.500

***

[7]
VASP calculation (SCAN) on Nb3AgCl at its PBEsol-relaxed geometry.

Computed properties:
calculated density = 5.865 g/cm³
formation energy without anion corrections = 1.896 eV/atom
crystal system = cubic
DOS(E_F) = 4.45 states/eV/f.u.
E = -129.25 eV/cell

abc: 4.925 4.925 4.925
angles: 90.00 90.00 90.00
Sites, in units of the cell vectors:
Nb 0.000 0.000 0.500
Nb 0.000 0.500 0.000
Nb 0.500 0.000 0.000
Ag 0.000 0.000 0.000
Cl 0.500 0.500 0.500

***

[8]
VASP calculation (SCAN) on NbAgP2Cl at its PBEsol-relaxed geometry.

Computed properties:
calculated density = 4.819 g/cm³
formation energy without anion corrections = 1.055 eV/atom
crystal system = tetragonal
DOS(E_F) = 4.31 states/eV/f.u.
E = -88.00 eV/cell

abc: 4.653 4.653 4.746
angles: 90.00 90.00 90.00
Sites, in units of the cell vectors:
Nb 0.000 0.000 0.000
Ag 0.500 0.500 0.500
P 0.000 0.500 0.500
P 0.500 0.000 0.500
Cl 0.500 0.500 0.000

***

[9]
VASP calculation (SCAN) on NiAgCl at its PBEsol-relaxed geometry.

Computed properties:
calculated density = 7.213 g/cm³
formation energy without anion corrections = 0.284 eV/atom
crystal system = hexagonal
DOS(E_F) = 1.21 states/eV/f.u.
E = -54.66 eV/cell

abc: 3.877 3.877 3.574
angles: 90.00 90.00 120.00
Sites, in units of the cell vectors:
Ni 0.000 0.000 0.000
Ag 0.333 0.667 0.500
Cl 0.667 0.333 0.000

***

[10]
VASP calculation (SCAN) on Ag2ClO at its PBEsol-relaxed geometry.

Computed properties:
calculated density = 5.803 g/cm³
formation energy without anion corrections = -0.184 eV/atom
crystal system = tetragonal
DOS(E_F) = 3.16 states/eV/f.u.
E = -155.36 eV/cell

abc: 7.032 7.032 7.032
angles: 138.19 138.19 60.61
Sites, in units of the cell vectors:
Ag 0.015 0.625 0.890
Ag 0.375 0.265 0.390
Ag 0.735 0.125 0.110
Ag 0.875 0.985 0.610
Cl 0.250 0.750 0.500
Cl 0.500 0.500 0.000
O 0.000 0.000 0.000
O 0.750 0.250 0.500

***

[11]
VASP calculation (SCAN) on AgPb4ClO4 at its PBEsol-relaxed geometry.

Computed properties:
calculated density = 8.219 g/cm³
formation energy without anion corrections = -1.040 eV/atom
crystal system = tetragonal
DOS(E_F) = 0.00 states/eV/f.u.
E = -755.59 eV/cell

abc: 8.200 8.200 6.227
angles: 90.00 90.00 90.00
Sites, in units of the cell vectors:
Ag 0.250 0.250 0.095
Ag 0.750 0.750 0.905
Pb 0.060 0.603 0.236
Pb 0.103 0.940 0.764
Pb 0.397 0.560 0.764
Pb 0.440 0.897 0.236
Pb 0.560 0.103 0.764
Pb 0.603 0.440 0.236
Pb 0.897 0.060 0.236
Pb 0.940 0.397 0.764
Cl 0.250 0.250 0.494
Cl 0.750 0.750 0.506
O 0.004 0.840 0.078
O 0.160 0.504 0.922
O 0.340 0.996 0.922
O 0.496 0.660 0.078
O 0.504 0.340 0.922
O 0.660 0.004 0.078
O 0.840 0.496 0.078
O 0.996 0.160 0.922

***

[12]
VASP calculation (SCAN) on ScAg2ClO at its PBEsol-relaxed geometry.

Computed properties:
calculated density = 4.671 g/cm³
formation energy without anion corrections = -0.473 eV/atom
crystal system = tetragonal
DOS(E_F) = 2.35 states/eV/f.u.
E = -93.55 eV/cell

abc: 5.412 5.412 3.788
angles: 90.00 90.00 90.00
Sites, in units of the cell vectors:
Sc 0.000 0.000 0.000
Ag 0.000 0.500 0.000
Ag 0.500 0.000 0.000
Cl 0.500 0.500 0.500
O 0.000 0.000 0.500